TaTe6Ru PBE relaxed; volume = 226.4 Å³/cell; crystal system = triclinic; raw formation energy = -6.8 kJ per mole of atoms
1.0
6.488 0.000 0.000
3.171 5.986 0.000
3.196 -1.346 5.829
Ta Te Ru
1 6 1
Cartesian
0.000 0.000 0.000
2.070 1.735 0.567
4.492 4.279 1.653
7.635 3.975 3.420
5.219 0.664 2.409
8.362 0.360 4.176
10.784 2.905 5.261
3.183 2.320 2.914